Computed, not measured: InGaBi after structural relaxation at the PBE level of DFT.

Unit cell a=4.702 b=4.760 c=7.674 alpha=72.06 beta=85.72 gamma=89.51
Space group P-1 (No. 2)
Symmetry-distinct sites (fractional):
In: 0.000 0.000 0.000 x1
In: 0.500 0.500 0.000 x1
Ga: 0.005 0.651 0.685 x2
Bi: 0.430 0.827 0.349 x2

Computed properties:
Raw total energy: -18.95 eV per cell
Energy of formation: 0.06 eV/atom
DOS at the Fermi energy: 1.402 states/eV/f.u.
V: 27.155 Å³ per atom
Crystal system: triclinic